[1]
This record from Alexandria describes a geometry-optimized Pu4Se5O structure. The functional is PBE.

## Properties
Crystal system ... monoclinic
Formation energy from raw total energies ... -1.56 eV/atom

Lattice parameters (Å, degrees): 3.839 7.386 9.883 111.90 101.20 90.00
Each line ends with the local moment (μB).
Atoms (fractional coordinates):
Pu 0.286 0.786 0.572  5.08
Pu 0.000 0.788 0.000  5.15
Pu 0.714 0.214 0.428  5.08
Pu 0.000 0.212 0.000  5.15
Se 0.840 0.583 0.680  -0.15
Se 0.840 0.097 0.680  -0.15
Se 0.160 0.903 0.320  -0.15
Se 0.500 0.500 0.000  -0.17
Se 0.160 0.417 0.320  -0.15
O 0.500 0.000 0.000  -0.15



[2]
This record from Alexandria describes a geometry-optimized PuSeO structure. The functional is PBE.

## Properties
Crystal system ... cubic
Formation energy from raw total energies ... -1.50 eV/atom

Lattice parameters (Å, degrees): 4.402 4.402 4.402 60.00 60.00 60.00
Each line ends with the local moment (μB).
Atoms (fractional coordinates):
O 0.500 0.500 0.500  -0.30
Se 0.000 0.000 0.000  -0.21
Pu 0.250 0.250 0.250  4.58



[3]
This record from Alexandria describes a geometry-optimized PuSeO structure. The functional is PBE.

## Properties
Crystal system ... monoclinic
Formation energy from raw total energies ... -2.08 eV/atom

Lattice parameters (Å, degrees): 3.794 6.690 6.157 101.52 90.00 90.00
Each line ends with the local moment (μB).
Atoms (fractional coordinates):
Pu 0.750 0.723 0.520  4.46
Pu 0.250 0.277 0.480  4.46
Se 0.750 0.136 0.760  -0.24
Se 0.250 0.864 0.240  -0.24
O 0.750 0.396 0.366  -0.17
O 0.250 0.604 0.634  -0.17



[4]
This record from Alexandria describes a geometry-optimized PuSe2O6 structure. The functional is PBE.

## Properties
Crystal system ... trigonal
Formation energy from raw total energies ... -1.48 eV/atom

Lattice parameters (Å, degrees): 5.273 5.273 7.430 69.22 69.22 60.00
Each line ends with the local moment (μB).
Atoms (fractional coordinates):
Pu 0.667 0.667 0.999  4.19
Se 0.230 0.230 0.309  0.00
Se 0.436 0.436 0.691  0.00
O 0.551 0.290 0.200  -0.04
O 0.290 0.959 0.200  -0.04
O 0.959 0.551 0.200  -0.04
O 0.419 0.687 0.800  -0.04
O 0.687 0.094 0.800  -0.04
O 0.094 0.419 0.800  -0.04



[5]
This record from Alexandria describes a geometry-optimized PuSeO structure. The functional is PBE.

## Properties
Crystal system ... hexagonal
Formation energy from raw total energies ... -2.11 eV/atom

Lattice parameters (Å, degrees): 4.268 3.843 3.843 120.00 90.00 90.00
Each line ends with the local moment (μB).
Atoms (fractional coordinates):
O 0.166 0.333 0.667  -0.22
Se 0.667 0.667 0.333  -0.24
Pu 0.167 0.000 0.000  4.48



[6]
This record from Alexandria describes a geometry-optimized Pu5Se5O2 structure. The functional is PBE.

## Properties
Crystal system ... monoclinic
Formation energy from raw total energies ... -1.90 eV/atom

Lattice parameters (Å, degrees): 3.951 6.742 10.976 104.94 90.00 107.04
Each line ends with the local moment (μB).
Atoms (fractional coordinates):
Pu 0.101 0.203 0.377  5.18
Pu 0.650 0.301 0.792  5.23
Pu 0.350 0.699 0.208  5.23
Pu 0.899 0.797 0.623  5.18
Pu 0.000 0.000 0.000  5.10
Se 0.500 0.000 0.500  -0.13
Se 0.664 0.328 0.064  -0.14
Se 0.759 0.518 0.363  -0.15
Se 0.241 0.482 0.637  -0.15
Se 0.336 0.672 0.936  -0.14
O 0.041 0.082 0.798  -0.14
O 0.959 0.918 0.202  -0.14



[7]
This record from Alexandria describes a geometry-optimized Pu2SeO4 structure. The functional is PBE.

## Properties
Crystal system ... trigonal
Formation energy from raw total energies ... -2.34 eV/atom

Lattice parameters (Å, degrees): 3.716 3.716 9.093 78.21 78.21 60.00
Each line ends with the local moment (μB).
Atoms (fractional coordinates):
Pu 0.227 0.227 0.319  4.03
Pu 0.773 0.773 0.681  4.03
Se 0.000 0.000 0.000  -0.59
O 0.418 0.418 0.745  -0.24
O 0.138 0.138 0.585  -0.16
O 0.582 0.582 0.255  -0.24
O 0.862 0.862 0.415  -0.16



[8]
This record from Alexandria describes a geometry-optimized SmPuSe2O structure. The functional is PBE.

## Properties
Crystal system ... tetragonal
Formation energy from raw total energies ... -2.18 eV/atom

Lattice parameters (Å, degrees): 4.023 4.023 14.618 90.00 90.00 90.00
Each line ends with the local moment (μB).
Atoms (fractional coordinates):
Sm 0.500 0.000 0.126  0.01
Sm 0.000 0.500 0.874  0.01
Pu 0.500 0.000 0.580  4.88
Pu 0.000 0.500 0.420  4.88
Se 0.000 0.500 0.684  -0.06
Se 0.000 0.500 0.090  0.00
Se 0.500 0.000 0.910  0.00
Se 0.500 0.000 0.316  -0.06
O 0.000 0.000 0.500  -0.14
O 0.500 0.500 0.500  -0.14



no.,energy (eV per formula unit),DOS at the Fermi energy (states/eV per atom),M_tot (μB per atom)
1,-95.35,3.052,2.000
2,-27.26,0.989,1.333
3,-29.02,2.240,1.333
4,-64.38,0.554,0.444
5,-29.11,1.475,1.334
6,-121.86,2.976,2.167
7,-68.38,1.136,0.908
8,-41.90,1.195,0.955